# ZrPtW2

ZrPtW2 after structural relaxation (PBE-GGA, Alexandria).

Calculated values
Space group = Cmmm
Formation energy from the elements = 0.03 eV per atom
Energy = -40.371 eV/cell
Density = 15.756 g/cm3
Total magnetic moment = 0.00 μB per cell

abc: 2.781 2.781 8.980
angles: 90.00 90.00 97.21
Fractional positions:
Zr: 0.500 0.500 0.250
W: 0.000 0.000 0.519
W: 0.000 0.000 0.981
Pt: 0.500 0.500 0.750